NbFePt3: optimized geometry, PBE.

Unit cell a=4.515 b=4.515 c=4.515 alpha=90.00 beta=90.00 gamma=90.00
Positions (direct):
Nb1 0.000 0.000 0.000
Fe1 0.500 0.500 0.500
Pt1 0.000 0.500 0.500
Pt2 0.500 0.000 0.500
Pt3 0.500 0.500 0.000

Summary:
For the total magnetic moment, the calculation gives 0.0 μB per formula unit. The crystal system is cubic. As for the symmetry: Pm-3m (221). The density of states at the Fermi level comes out at 14.527 states/eV per cell. Its formation energy is 0.9972 eV per atom. For the volume, the calculation gives 18.40 Å³ per atom.